# 1
BeTl2Zn PBE-GGA relaxed; Fermi-level density of states = 1.3 states/eV per cell; SG = No. 6; E_form = 0.364 eV/atom
1.0
4.419 0.000 0.000
0.000 4.326 0.000
-2.165 0.000 4.566
Be Tl Zn
1 2 1
direct
0.000 0.000 0.000
0.407 0.500 0.817
0.701 0.000 0.414
0.098 0.500 0.209

# 2
BeTlZn2 PBE-GGA relaxed; Fermi-level density of states = 1.5 states/eV per cell; SG = No. 216; E_form = 0.525 eV/atom
1.0
0.000 3.288 3.288
3.288 0.000 3.288
3.288 3.288 0.000
Be Tl Zn
1 1 2
direct
0.000 0.000 0.000
0.250 0.250 0.250
0.500 0.500 0.500
0.750 0.750 0.750

# 3
BeTlZn2 PBE-GGA relaxed; Fermi-level density of states = 1.4 states/eV per cell; SG = No. 139; E_form = 0.470 eV/atom
1.0
-2.011 2.011 4.216
2.011 -2.011 4.216
2.011 2.011 -4.216
Be Tl Zn
1 1 2
direct
0.000 0.000 0.000
0.500 0.500 0.000
0.250 0.750 0.500
0.750 0.250 0.500

# 4
BeTl4Zn PBE-GGA relaxed; Fermi-level density of states = 4.1 states/eV per cell; SG = No. 216; E_form = 0.708 eV/atom
1.0
0.000 4.508 4.508
4.508 0.000 4.508
4.508 4.508 0.000
Be Tl Zn
1 4 1
direct
0.000 0.000 0.000
0.124 0.625 0.625
0.625 0.124 0.625
0.625 0.625 0.124
0.625 0.625 0.625
0.250 0.250 0.250

# 5
BeTl2Zn PBE-GGA relaxed; Fermi-level density of states = 1.4 states/eV per cell; SG = No. 166; E_form = 0.483 eV/atom
1.0
1.706 0.985 8.359
-1.706 0.985 8.359
0.000 -1.970 8.359
Be Tl Zn
1 2 1
direct
0.000 0.000 0.000
0.258 0.258 0.258
0.742 0.742 0.742
0.500 0.500 0.500

# 6
BeTlZn2 PBE-GGA relaxed; Fermi-level density of states = 2.1 states/eV per cell; SG = No. 123; E_form = 0.310 eV/atom
1.0
2.948 0.000 0.000
0.000 2.948 0.000
0.000 0.000 8.027
Be Tl Zn
1 1 2
direct
0.000 0.000 0.000
0.000 0.000 0.500
0.500 0.500 0.176
0.500 0.500 0.824

# 7
BeTl2Zn PBE-GGA relaxed; Fermi-level density of states = 3.6 states/eV per cell; SG = No. 122; E_form = 0.562 eV/atom
1.0
-2.295 2.295 8.661
2.295 -2.295 8.661
2.295 2.295 -8.661
Be Tl Zn
2 4 2
direct
0.000 0.000 0.000
0.750 0.250 0.500
0.106 0.625 0.981
0.375 0.356 0.481
0.644 0.125 0.019
0.875 0.894 0.519
0.250 0.750 0.500
0.500 0.500 0.000

# 8
BeTlZn2 PBE-GGA relaxed; Fermi-level density of states = 1.0 states/eV per cell; SG = No. 160; E_form = 0.406 eV/atom
1.0
1.597 0.922 8.068
-1.597 0.922 8.068
0.000 -1.845 8.068
Be Tl Zn
1 1 2
direct
0.000 0.000 0.000
0.247 0.247 0.247
0.478 0.478 0.478
0.732 0.732 0.732

# 9
BeTl2Zn PBE-GGA relaxed; Fermi-level density of states = 1.3 states/eV per cell; SG = No. 99; E_form = 0.341 eV/atom
1.0
3.110 0.000 0.000
0.000 3.110 0.000
0.000 0.000 9.082
Be Tl Zn
1 2 1
direct
0.000 0.000 0.000
0.000 0.000 0.612
0.500 0.500 0.252
0.500 0.500 0.890

# 10
BeTlZn2 PBE-GGA relaxed; Fermi-level density of states = 0.9 states/eV per cell; SG = No. 8; E_form = 0.309 eV/atom
1.0
4.157 -1.472 0.000
4.157 1.472 0.000
-2.047 0.000 5.992
Be Tl Zn
1 1 2
direct
0.000 0.000 0.000
0.315 0.315 0.626
0.506 0.506 0.304
0.732 0.732 0.055

# 11
BeTl2Zn PBE-GGA relaxed; Fermi-level density of states = 1.4 states/eV per cell; SG = No. 44; E_form = 0.421 eV/atom
1.0
-1.577 2.172 6.392
1.577 -2.172 6.392
1.577 2.172 -6.392
Be Tl Zn
1 2 1
direct
0.000 0.000 0.000
0.237 0.737 0.500
0.533 0.533 0.000
0.855 0.355 0.500

# 12
BeTl2Zn PBE-GGA relaxed; Fermi-level density of states = 1.5 states/eV per cell; SG = No. 12; E_form = 0.555 eV/atom
1.0
4.025 -3.599 0.000
4.025 3.599 0.000
-0.901 0.000 3.034
Be Tl Zn
1 2 1
direct
0.000 0.000 0.000
0.000 0.500 0.500
0.500 0.000 0.500
0.500 0.500 0.000

Copy entry 2 word for word.
BeTlZn2 PBE-GGA relaxed; Fermi-level density of states = 1.5 states/eV per cell; SG = No. 216; E_form = 0.525 eV/atom
1.0
0.000 3.288 3.288
3.288 0.000 3.288
3.288 3.288 0.000
Be Tl Zn
1 1 2
direct
0.000 0.000 0.000
0.250 0.250 0.250
0.500 0.500 0.500
0.750 0.750 0.750